# 1
# MgZr2Fe (PBE-GGA, optimized geometry)
# crystal system: cubic
data_MgZr2Fe
_chemical_formula_sum 'Mg1 Zr2 Fe1'
_cell_length_a 4.745
_cell_length_b 4.745
_cell_length_c 4.745
_cell_angle_alpha 60.00
_cell_angle_beta 60.00
_cell_angle_gamma 60.00
_symmetry_space_group_name_H-M 'P 1'
_symmetry_Int_Tables_number 1
_symmetry_space_group_name_Hall 'P 1'
loop_
_atom_site_label
_atom_site_fract_x
_atom_site_fract_y
_atom_site_fract_z
Fe1 0.500 0.500 0.500
Mg1 0.750 0.750 0.750
Zr1 0.000 0.000 0.000
Zr2 0.250 0.250 0.250

***

# 2
# Ag2OsPt (PBE-GGA, optimized geometry)
# crystal system: tetragonal
# energy relative to the lowest polymorph listed for this composition: 401 meV per atom
data_Ag2OsPt
_chemical_formula_sum 'Ag2 Os1 Pt1'
_cell_length_a 4.476
_cell_length_b 3.845
_cell_length_c 3.845
_cell_angle_alpha 90.00
_cell_angle_beta 90.00
_cell_angle_gamma 90.00
_symmetry_space_group_name_H-M 'P 1'
_symmetry_Int_Tables_number 1
_symmetry_space_group_name_Hall 'P 1'
loop_
_atom_site_label
_atom_site_fract_x
_atom_site_fract_y
_atom_site_fract_z
Os1 0.500 0.500 0.000
Ag1 0.000 0.000 0.000
Ag2 0.000 0.500 0.500
Pt1 0.500 0.000 0.500

***

Short version: energy relative to the elements = 0.276, 0.655 eV/atom, in the order given.
Short version: total magnetic moment = 0.155, 1.933 μB/f.u., in the order given.
Short version: density of states at the Fermi level = 3.00, 4.59 states/eV/cell, in the order given.